1.
A relaxed Si3CCl8 crystal, computed with PBE-GGA.

Output
- space-group type = No. 2
- E (eV per cell) = -104.77

Unit cell a=9.1366 b=9.5923 c=9.7301 alpha=97.07 beta=115.20 gamma=102.35
Fractional coordinates of all 24 atoms:
Si (0.7082, 0.2232, 0.3429)
Cl (0.6472, 0.2399, 0.5220)
Cl (0.3528, 0.7601, 0.4780)
Cl (0.7770, 0.2145, 0.0118)
Cl (0.7235, 0.0135, 0.3049)
Cl (0.2765, 0.9865, 0.6951)
Cl (0.5032, 0.2359, 0.1513)
Cl (0.1529, 0.4467, 0.2041)
Cl (0.8471, 0.5533, 0.7959)
C (0.9137, 0.3661, 0.3821)
Cl (0.6757, 0.5759, 0.4010)
Cl (0.2230, 0.7855, 0.9882)
Si (0.9799, 0.2936, 0.2305)
Cl (0.0814, 0.3258, 0.7543)
Cl (0.9186, 0.6742, 0.2457)
Cl (0.9152, 0.8728, 0.7139)
Si (0.0201, 0.7064, 0.7695)
Si (0.8998, 0.5656, 0.4073)
Si (0.2918, 0.7768, 0.6571)
C (0.0863, 0.6339, 0.6179)
Cl (0.0848, 0.1272, 0.2861)
Cl (0.4968, 0.7641, 0.8487)
Cl (0.3243, 0.4241, 0.5990)
Si (0.1002, 0.4344, 0.5927)


2.
A relaxed ErCoSiH crystal, computed with PBE-GGA.

Output
- space-group type = No. 129
- E (eV per cell) = -47.04

Unit cell a=3.8216 b=3.8216 c=7.2098 alpha=90.00 beta=90.00 gamma=90.00
Fractional coordinates of all 8 atoms:
Si (0.5000, 0.0000, 0.1684)
Si (0.0000, 0.5000, 0.8316)
H (0.5000, 0.5000, 0.5000)
Co (0.0000, 0.0000, 0.0000)
Co (0.5000, 0.5000, 0.0000)
Er (0.5000, 0.0000, 0.6630)
H (0.0000, 0.0000, 0.5000)
Er (0.0000, 0.5000, 0.3370)


3.
A relaxed LiB4C4 crystal, computed with PBE-GGA.

Output
- formation energy (eV per atom) = 0.2351
- space-group type = No. 51
- E (eV per cell) = -126.81
- energy relative to the lowest polymorph listed for this composition (kJ/mol of atoms) = 14.08

Unit cell a=4.5990 b=5.4463 c=7.3728 alpha=90.00 beta=90.00 gamma=90.00
Fractional coordinates of all 18 atoms:
B (0.8247, 0.2500, 0.7500)
B (0.1682, 0.7500, 0.2500)
C (0.6732, 0.5015, 0.7500)
C (0.1773, 0.7500, 0.7500)
B (0.3256, 0.0018, 0.7500)
C (0.3268, 0.9985, 0.2500)
B (0.6744, 0.0018, 0.2500)
Li (0.5000, 0.7500, 0.5000)
B (0.3256, 0.4982, 0.7500)
B (0.1753, 0.2500, 0.2500)
C (0.8291, 0.2500, 0.2500)
Li (0.5000, 0.7500, 0.0000)
C (0.3268, 0.5015, 0.2500)
C (0.6732, 0.9985, 0.7500)
C (0.1709, 0.2500, 0.7500)
B (0.6744, 0.4982, 0.2500)
C (0.8227, 0.7500, 0.2500)
B (0.8318, 0.7500, 0.7500)


4.
A relaxed La13Sm2 crystal, computed with PBE-GGA.

Output
- formation energy (eV per atom) = 0.1226
- space-group type = No. 166
- E (eV per cell) = -71.66

Unit cell a=12.6777 b=12.6777 c=12.6777 alpha=33.62 beta=33.62 gamma=33.62
Fractional coordinates of all 15 atoms:
La (0.5000, 0.5000, 0.5000)
Sm (0.7063, 0.7063, 0.7063)
La (0.2958, 0.7860, 0.7860)
La (0.9549, 0.9549, 0.4568)
La (0.2140, 0.7042, 0.2140)
La (0.7860, 0.2958, 0.7860)
La (0.5432, 0.0451, 0.0451)
La (0.4568, 0.9549, 0.9549)
La (0.2140, 0.2140, 0.7042)
La (0.7860, 0.7860, 0.2958)
La (0.0451, 0.5432, 0.0451)
Sm (0.2937, 0.2937, 0.2937)
La (0.0451, 0.0451, 0.5432)
La (0.9549, 0.4568, 0.9549)
La (0.7042, 0.2140, 0.2140)


Question: Which value of E does entry 3 give?
Answer: -126.81 eV per cell


Repeat the second record exactly.
A relaxed ErCoSiH crystal, computed with PBE-GGA.

Output
- space-group type = No. 129
- E (eV per cell) = -47.04

Unit cell a=3.8216 b=3.8216 c=7.2098 alpha=90.00 beta=90.00 gamma=90.00
Fractional coordinates of all 8 atoms:
Si (0.5000, 0.0000, 0.1684)
Si (0.0000, 0.5000, 0.8316)
H (0.5000, 0.5000, 0.5000)
Co (0.0000, 0.0000, 0.0000)
Co (0.5000, 0.5000, 0.0000)
Er (0.5000, 0.0000, 0.6630)
H (0.0000, 0.0000, 0.5000)
Er (0.0000, 0.5000, 0.3370)